Compound: LiFeSiO4
Source: Alexandria via LeMat-Bulk
Functional: SCAN
Structure: PBEsol geometry

The magnetic moment is 5.0 μB/f.u. As for the energy above the most stable polymorph in this dataset: 71 meV/atom. The value obtained for the uncorrected formation energy is -2.355 eV per atom.

The structure in extended XYZ format:
```
14
Lattice="-2.824 2.866 3.889 2.824 -2.866 3.889 2.824 2.866 -3.889" Properties=species:S:1:pos:R:3 pbc="T T T"
Li -1.412 1.433 1.944
Li 1.412 1.433 1.944
Fe 0.000 0.000 0.000
Fe 0.000 2.866 0.000
Si 2.824 1.433 -1.041
Si 0.000 1.433 4.930
O 2.824 2.792 -1.983
O 1.476 1.433 -0.063
O 4.173 1.433 -0.063
O 2.824 -0.073 1.983
O 0.000 2.939 1.906
O -1.349 1.433 3.952
O 1.349 1.433 3.952
O 0.000 0.073 5.872
```